# 1
Entry from the Open Quantum Materials Database: crystalline Sc4CdInC2 at its relaxed geometry (PBE).

POSCAR file:
```
Sc4CdInC2
1.0
-2.415 2.199 0.689
-0.726 -2.818 -1.635
-2.644 -7.124 13.453
Sc Cd C In
4 1 2 1
Direct
0.667 0.333 0.172
0.000 0.000 0.670
0.667 0.333 0.828
0.000 0.000 0.330
0.000 0.000 0.000
0.333 0.667 0.750
0.333 0.667 0.250
0.667 0.333 0.500
```

## Properties
DFT total energy (eV per atom): -6.417
Total moment (μB/f.u.): 0.65
SG: No. 187
Calculated volume (Å³/cell): 149.1

# 2
Entry from the Open Quantum Materials Database: crystalline Ta4CdInC2 at its relaxed geometry (PBE).

POSCAR file:
```
Ta4CdInC2
1.0
3.165 0.000 0.000
-1.582 2.741 0.000
0.000 0.000 14.523
C In Ta Cd
2 1 4 1
Direct
0.000 0.000 0.249
0.000 0.000 0.751
0.667 0.333 0.500
0.333 0.667 0.667
0.333 0.667 0.333
0.667 0.333 0.832
0.667 0.333 0.168
0.333 0.667 0.000
```

## Properties
DFT total energy (eV per atom): -9.046
Total moment (μB/f.u.): 0.00
SG: No. 187
Calculated volume (Å³/cell): 126.0

# 3
Entry from the Open Quantum Materials Database: crystalline CdInW4C2 at its relaxed geometry (PBE).

POSCAR file:
```
CdInW4C2
1.0
3.092 0.000 0.000
-1.546 2.678 0.000
0.000 0.000 14.274
W Cd C In
4 1 2 1
Direct
0.000 0.000 0.833
0.333 0.667 0.670
0.000 0.000 0.167
0.333 0.667 0.330
0.000 0.000 0.500
0.667 0.333 0.750
0.667 0.333 0.250
0.333 0.667 0.000
```

## Properties
DFT total energy (eV per atom): -8.990
Total moment (μB/f.u.): 0.00
SG: No. 187
Calculated volume (Å³/cell): 118.2